Ta2AlOs | PBE-GGA | relaxed

POSCAR file:
```
Ta2AlOs
1.0
-4.165 1.583 -0.734
-2.078 -0.841 -3.921
-3.506 -2.844 -0.133
Ta Al Os
2 1 1
Direct
0.250 0.250 0.250
0.000 0.000 0.000
0.500 0.500 0.500
0.750 0.750 0.750
```

Properties
Theoretical density in g cm⁻³: 14.76
Space group: No. 216
VASP energy in eV/f.u.: -39.10
Crystal system: cubic
Energy of formation from the pure elements in kJ/mol of atoms: -10.3


TaAl2Os2 | PBE-GGA | relaxed

POSCAR file:
```
TaAl2Os2
1.0
7.250 0.000 0.000
0.000 7.250 0.000
0.000 0.000 2.864
Al Ta Os
4 2 4
Direct
0.623 0.123 0.000
0.877 0.623 0.000
0.123 0.377 0.000
0.377 0.877 0.000
0.000 0.000 0.000
0.500 0.500 0.000
0.324 0.176 0.500
0.824 0.324 0.500
0.176 0.676 0.500
0.676 0.824 0.500
```

Properties
Theoretical density in g cm⁻³: 13.58
Space group: No. 127
VASP energy in eV/f.u.: -42.79
Crystal system: tetragonal
Energy of formation from the pure elements in kJ/mol of atoms: -19.1


Ta2Al2Os3 | PBE-GGA | relaxed

POSCAR file:
```
Ta2Al2Os3
1.0
-1.543 -0.939 4.044
3.483 -2.212 -1.602
4.110 6.045 0.597
Ta Os Al
2 3 2
Direct
0.235 0.617 0.848
0.765 0.383 0.152
0.489 0.745 0.239
0.511 0.255 0.761
0.000 0.000 0.000
0.745 0.872 0.610
0.255 0.128 0.390
```

Properties
Theoretical density in g cm⁻³: 13.98
Space group: No. 12
VASP energy in eV/f.u.: -67.03
Crystal system: monoclinic
Energy of formation from the pure elements in kJ/mol of atoms: -29.6


TaAl4Os5 | PBE-GGA | relaxed

POSCAR file:
```
TaAl4Os5
1.0
3.084 0.000 0.000
0.000 3.084 0.000
0.000 0.000 15.031
Ta Al Os
1 4 5
Direct
0.000 0.000 0.000
0.000 0.000 0.402
0.000 0.000 0.791
0.000 0.000 0.598
0.000 0.000 0.209
0.500 0.500 0.895
0.500 0.500 0.500
0.500 0.500 0.697
0.500 0.500 0.105
0.500 0.500 0.303
```

Properties
Theoretical density in g cm⁻³: 14.40
Space group: No. 123
VASP energy in eV/f.u.: -87.19
Crystal system: tetragonal
Energy of formation from the pure elements in kJ/mol of atoms: -40.7


Ta2AlOs | PBE-GGA | relaxed

POSCAR file:
```
Ta2AlOs
1.0
-1.689 2.833 -3.669
-4.643 1.341 0.989
4.126 0.239 2.693
Ta Al Os
2 1 1
Direct
0.500 0.500 0.000
0.000 0.000 0.000
0.250 0.750 0.500
0.750 0.250 0.500
```

Properties
Theoretical density in g cm⁻³: 14.65
Space group: No. 139
VASP energy in eV/f.u.: -39.33
Crystal system: tetragonal
Energy of formation from the pure elements in kJ/mol of atoms: -15.6


Ta2AlOs | PBE-GGA | relaxed

POSCAR file:
```
Ta2AlOs
1.0
4.487 0.000 0.000
0.000 2.913 -0.008
0.000 0.797 5.034
Al Os Ta
1 1 2
Direct
0.000 0.631 0.481
0.500 0.660 0.776
0.000 0.999 0.963
0.500 0.210 0.280
```

Properties
Theoretical density in g cm⁻³: 14.61
Space group: No. 6
VASP energy in eV/f.u.: -39.52
Crystal system: monoclinic
Energy of formation from the pure elements in kJ/mol of atoms: -20.4


Ta2AlOs | PBE-GGA | relaxed

POSCAR file:
```
Ta2AlOs
1.0
-0.600 -0.776 5.303
0.520 -5.006 1.936
2.346 4.065 -2.656
Os Al Ta
1 1 2
Direct
0.249 0.749 0.500
0.483 0.483 0.000
0.756 0.256 0.500
0.012 0.012 0.000
```

Properties
Theoretical density in g cm⁻³: 14.65
Space group: No. 44
VASP energy in eV/f.u.: -39.67
Crystal system: orthorhombic
Energy of formation from the pure elements in kJ/mol of atoms: -23.9


Ta2AlOs | PBE-GGA | relaxed

POSCAR file:
```
Ta2AlOs
1.0
-6.255 1.079 0.555
1.816 -4.484 0.434
-1.188 -0.218 2.682
Os Ta Al
1 2 1
Direct
0.500 0.500 0.000
0.500 0.000 0.500
0.000 0.000 0.000
0.000 0.500 0.500
```

Properties
Theoretical density in g cm⁻³: 14.65
Space group: No. 65
VASP energy in eV/f.u.: -39.51
Crystal system: orthorhombic
Energy of formation from the pure elements in kJ/mol of atoms: -20.1


Ta3AlOs | PBE-GGA | relaxed

POSCAR file:
```
Ta3AlOs
1.0
-4.133 1.117 1.656
0.374 -3.306 3.163
1.962 2.983 2.885
Os Al Ta
1 1 3
Direct
0.500 0.500 0.500
0.000 0.000 0.000
0.000 0.000 0.500
0.500 0.000 0.000
0.000 0.500 0.000
```

Properties
Theoretical density in g cm⁻³: 13.05
Space group: No. 221
VASP energy in eV/f.u.: -42.76
Crystal system: cubic
Energy of formation from the pure elements in kJ/mol of atoms: 149.9


Ta2AlOs | PBE-GGA | relaxed

POSCAR file:
```
Ta2AlOs
1.0
-0.437 1.652 2.233
-2.211 -1.685 -0.425
3.690 -6.176 5.291
Os Al Ta
1 1 2
Direct
0.500 0.500 0.750
0.500 0.500 0.250
0.000 0.000 0.504
0.000 0.000 0.996
```

Properties
Theoretical density in g cm⁻³: 14.54
Space group: No. 65
VASP energy in eV/f.u.: -38.93
Crystal system: orthorhombic
Energy of formation from the pure elements in kJ/mol of atoms: -6.2